[1]
{"formula": "Mo2OsPb", "functional": "PBE", "state": "optimized geometry", "final_energy_ev_per_cell": -34.3, "formation_enthalpy_0k_kj_per_mol_atoms": 56, "lattice_angstrom": [[2.963, 0.000, 0.000], [0.000, 2.963, 0.000], [0.000, 0.000, 8.114]], "species": ["Mo", "Mo", "Os", "Pb"], "fractional_positions": [[0.000, 0.000, 0.000], [0.500, 0.500, 0.240], [0.000, 0.000, 0.439], [0.500, 0.500, 0.714]]}


[2]
{"formula": "Mo2OsPb", "functional": "PBE", "state": "optimized geometry", "final_energy_ev_per_cell": -33.5, "formation_enthalpy_0k_kj_per_mol_atoms": 74, "lattice_angstrom": [[3.926, 0.000, 0.000], [0.000, 3.926, 0.000], [0.000, 0.000, 4.455]], "species": ["Mo", "Mo", "Os", "Pb"], "fractional_positions": [[0.000, 0.500, 0.000], [0.500, 0.000, 0.000], [0.000, 0.000, 0.500], [0.500, 0.500, 0.500]]}


[3]
{"formula": "MoOs2Pb", "functional": "PBE", "state": "optimized geometry", "final_energy_ev_per_cell": -34.2, "formation_enthalpy_0k_kj_per_mol_atoms": 68, "lattice_angstrom": [[4.687, -1.485, 0.000], [4.687, 1.485, 0.000], [-1.184, 0.000, 4.990]], "species": ["Mo", "Os", "Os", "Pb"], "fractional_positions": [[0.000, 0.000, 0.000], [0.262, 0.262, 0.747], [0.525, 0.525, 0.594], [0.765, 0.765, 0.268]]}


[4]
{"formula": "MoOs2Pb", "functional": "PBE", "state": "optimized geometry", "final_energy_ev_per_cell": -33.2, "formation_enthalpy_0k_kj_per_mol_atoms": 92, "lattice_angstrom": [[4.225, 0.000, 0.000], [0.000, 4.225, 0.000], [0.000, 0.000, 3.781]], "species": ["Mo", "Os", "Os", "Pb"], "fractional_positions": [[0.000, 0.000, 0.000], [0.000, 0.500, 0.500], [0.500, 0.000, 0.500], [0.500, 0.500, 0.000]]}


[5]
{"formula": "MoOs2Pb2", "functional": "PBE", "state": "optimized geometry", "final_energy_ev_per_cell": -31.3, "formation_enthalpy_0k_kj_per_mol_atoms": 181, "lattice_angstrom": [[5.177, 0.000, 0.000], [0.000, 5.177, 0.000], [0.000, 0.000, 4.955]], "species": ["Mo", "Os", "Os", "Pb", "Pb"], "fractional_positions": [[0.000, 0.000, 0.000], [0.500, 0.500, 0.000], [0.500, 0.500, 0.500], [0.000, 0.500, 0.500], [0.500, 0.000, 0.500]]}


[6]
{"formula": "MoOsPb2", "functional": "PBE", "state": "optimized geometry", "final_energy_ev_per_cell": -25.4, "polymorph_energy_ev_per_fu": 2.722, "formation_enthalpy_0k_kj_per_mol_atoms": 97, "lattice_angstrom": [[0.000, 3.385, 3.385], [3.385, 0.000, 3.385], [3.385, 3.385, 0.000]], "species": ["Mo", "Os", "Pb", "Pb"], "fractional_positions": [[0.000, 0.000, 0.000], [0.500, 0.500, 0.500], [0.250, 0.250, 0.250], [0.750, 0.750, 0.750]]}


[7]
{"formula": "MoOs2Pb", "functional": "PBE", "state": "optimized geometry", "final_energy_ev_per_cell": -33.5, "formation_enthalpy_0k_kj_per_mol_atoms": 85, "lattice_angstrom": [[2.887, 0.000, 0.000], [0.000, 4.543, 0.000], [-0.216, 0.000, 5.382]], "species": ["Mo", "Os", "Os", "Pb"], "fractional_positions": [[0.000, 0.000, 0.000], [0.317, 0.500, 0.210], [0.683, 0.500, 0.790], [0.500, 0.000, 0.500]]}


[8]
{"formula": "Mo2OsPb", "functional": "PBE", "state": "optimized geometry", "final_energy_ev_per_cell": -33.9, "formation_enthalpy_0k_kj_per_mol_atoms": 65, "lattice_angstrom": [[-1.701, 2.199, 4.571], [1.701, -2.199, 4.571], [1.701, 2.199, -4.571]], "species": ["Mo", "Mo", "Os", "Pb"], "fractional_positions": [[0.000, 0.000, 0.000], [0.757, 0.257, 0.500], [0.507, 0.507, 0.000], [0.256, 0.756, 0.500]]}


[9]
{"formula": "Mo2OsPb", "functional": "PBE", "state": "optimized geometry", "final_energy_ev_per_cell": -34.7, "formation_enthalpy_0k_kj_per_mol_atoms": 46, "lattice_angstrom": [[2.950, 0.000, 0.000], [0.000, 2.950, 0.000], [0.000, 0.000, 8.012]], "species": ["Mo", "Mo", "Os", "Pb"], "fractional_positions": [[0.000, 0.000, 0.220], [0.000, 0.000, 0.780], [0.500, 0.500, 0.000], [0.500, 0.500, 0.500]]}


[10]
{"formula": "MoOs2Pb", "functional": "PBE", "state": "optimized geometry", "final_energy_ev_per_cell": -34.7, "formation_enthalpy_0k_kj_per_mol_atoms": 55, "lattice_angstrom": [[3.001, 0.000, 0.000], [0.000, 3.001, 0.000], [0.000, 0.000, 7.694]], "species": ["Mo", "Os", "Os", "Pb"], "fractional_positions": [[0.000, 0.000, 0.000], [0.500, 0.500, 0.215], [0.500, 0.500, 0.785], [0.000, 0.000, 0.500]]}


[11]
{"formula": "MoOsPb2", "functional": "PBE", "state": "optimized geometry", "final_energy_ev_per_cell": -25.1, "polymorph_energy_ev_per_fu": 3.033, "formation_enthalpy_0k_kj_per_mol_atoms": 105, "lattice_angstrom": [[-2.132, 2.132, 4.380], [2.132, -2.132, 4.380], [2.132, 2.132, -4.380]], "species": ["Mo", "Os", "Pb", "Pb"], "fractional_positions": [[0.000, 0.000, 0.000], [0.250, 0.750, 0.500], [0.500, 0.500, 0.000], [0.750, 0.250, 0.500]]}


[12]
{"formula": "MoOs2Pb", "functional": "PBE", "state": "optimized geometry", "final_energy_ev_per_cell": -34.2, "formation_enthalpy_0k_kj_per_mol_atoms": 68, "lattice_angstrom": [[4.674, -1.483, 0.000], [4.674, 1.483, 0.000], [-0.914, 0.000, 4.957]], "species": ["Mo", "Os", "Os", "Pb"], "fractional_positions": [[0.000, 0.000, 0.000], [0.265, 0.265, 0.792], [0.735, 0.735, 0.208], [0.500, 0.500, 0.500]]}


[13]
{"formula": "MoOs2Pb", "functional": "PBE", "state": "optimized geometry", "final_energy_ev_per_cell": -33.6, "formation_enthalpy_0k_kj_per_mol_atoms": 83, "lattice_angstrom": [[1.542, -2.421, 0.000], [1.542, 2.421, 0.000], [0.000, 0.000, 9.706]], "species": ["Mo", "Os", "Os", "Pb"], "fractional_positions": [[0.000, 0.000, 0.000], [0.500, 0.500, 0.213], [0.500, 0.500, 0.787], [0.000, 0.000, 0.500]]}


[14]
{"formula": "MoOs2Pb", "functional": "PBE", "state": "optimized geometry", "final_energy_ev_per_cell": -34.2, "formation_enthalpy_0k_kj_per_mol_atoms": 67, "lattice_angstrom": [[2.863, 0.000, 0.000], [0.000, 3.853, 0.000], [0.000, 0.000, 6.550]], "species": ["Mo", "Os", "Os", "Pb"], "fractional_positions": [[0.000, 0.000, 0.000], [0.000, 0.000, 0.387], [0.500, 0.500, 0.223], [0.500, 0.500, 0.698]]}


[15]
{"formula": "MoOsPb2", "functional": "PBE", "state": "optimized geometry", "final_energy_ev_per_cell": -27.3, "polymorph_energy_ev_per_fu": 0.904, "formation_enthalpy_0k_kj_per_mol_atoms": 53, "lattice_angstrom": [[4.141, -1.589, 0.000], [4.141, 1.589, 0.000], [-0.940, 0.000, 7.486]], "species": ["Mo", "Os", "Pb", "Pb"], "fractional_positions": [[0.000, 0.000, 0.000], [0.274, 0.274, 0.900], [0.529, 0.529, 0.643], [0.744, 0.744, 0.258]]}


[16]
{"formula": "MoOsPb2", "functional": "PBE", "state": "optimized geometry", "final_energy_ev_per_cell": -27.3, "polymorph_energy_ev_per_fu": 0.843, "formation_enthalpy_0k_kj_per_mol_atoms": 52, "lattice_angstrom": [[1.549, 0.894, 10.723], [-1.549, 0.894, 10.723], [0.000, -1.789, 10.723]], "species": ["Mo", "Os", "Pb", "Pb"], "fractional_positions": [[0.000, 0.000, 0.000], [0.725, 0.725, 0.725], [0.253, 0.253, 0.253], [0.470, 0.470, 0.470]]}


[17]
{"formula": "Rb2MoOsPb", "functional": "PBE", "state": "optimized geometry", "final_energy_ev_per_cell": -17.1, "formation_enthalpy_0k_kj_per_mol_atoms": 204, "lattice_angstrom": [[6.643, 0.000, 0.000], [0.000, 6.643, 0.000], [0.000, 0.000, 5.399]], "species": ["Rb", "Rb", "Mo", "Os", "Pb"], "fractional_positions": [[0.000, 0.500, 0.000], [0.500, 0.000, 0.000], [0.000, 0.000, 0.000], [0.500, 0.500, 0.500], [0.000, 0.000, 0.500]]}


[18]
{"formula": "TcMoOs2Pb", "functional": "PBE", "state": "optimized geometry", "final_energy_ev_per_cell": -31.3, "formation_enthalpy_0k_kj_per_mol_atoms": 310, "lattice_angstrom": [[4.820, 0.000, 0.000], [0.000, 4.820, 0.000], [0.000, 0.000, 4.829]], "species": ["Tc", "Mo", "Os", "Os", "Pb"], "fractional_positions": [[0.000, 0.000, 0.000], [0.500, 0.500, 0.000], [0.000, 0.500, 0.500], [0.500, 0.000, 0.500], [0.000, 0.000, 0.500]]}


[19]
{"formula": "TlMoOs2Pb", "functional": "PBE", "state": "optimized geometry", "final_energy_ev_per_cell": -31.3, "polymorph_energy_ev_per_fu": 0.000, "formation_enthalpy_0k_kj_per_mol_atoms": 157, "lattice_angstrom": [[4.789, 0.000, 0.000], [0.000, 4.789, 0.000], [0.000, 0.000, 5.396]], "species": ["Tl", "Mo", "Os", "Os", "Pb"], "fractional_positions": [[0.000, 0.000, 0.000], [0.500, 0.500, 0.500], [0.000, 0.500, 0.500], [0.500, 0.000, 0.500], [0.500, 0.500, 0.000]]}


[20]
{"formula": "TlMoOs2Pb", "functional": "PBE", "state": "optimized geometry", "final_energy_ev_per_cell": -25.9, "polymorph_energy_ev_per_fu": 5.340, "formation_enthalpy_0k_kj_per_mol_atoms": 260, "lattice_angstrom": [[5.001, 0.000, 0.000], [0.000, 5.001, 0.000], [0.000, 0.000, 5.144]], "species": ["Tl", "Mo", "Os", "Os", "Pb"], "fractional_positions": [[0.000, 0.000, 0.000], [0.500, 0.500, 0.000], [0.000, 0.500, 0.500], [0.500, 0.000, 0.500], [0.500, 0.500, 0.500]]}